1.
This record from Alexandria describes a geometry-optimized Dy2CdS structure. The functional is PBE.

Lattice parameters (Å, degrees): 3.831 3.831 8.107 76.33 76.33 60.00
Fractional positions:
Dy (0.735, 0.735, 0.795)
Dy (0.265, 0.265, 0.205)
S (0.000, 0.000, 0.000)
Cd (0.500, 0.500, 0.500)

Calculated values
total magnetization: 0.00 μB/f.u.
space group: R-3m
raw formation energy: -1.101 eV per atom
theoretical density: 7.9 g/cm3

2.
This record from Alexandria describes a geometry-optimized TbNdCoCl structure. The functional is PBE.

Lattice parameters (Å, degrees): 3.870 3.870 7.902 90.00 104.17 120.00
Fractional positions:
Cl (0.961, 0.379, 0.354)
Nd (0.506, 0.151, 0.672)
Tb (0.104, 0.950, 0.069)
Co (0.308, 0.552, 0.875)

Calculated values
total magnetization: 0.00 μB/f.u.
space group: R3m
raw formation energy: -0.819 eV per atom
theoretical density: 6.7 g/cm3

3.
This record from Alexandria describes a geometry-optimized BePb2Br structure. The functional is PBE.

Lattice parameters (Å, degrees): 3.558 6.343 4.926 90.00 90.00 90.00
Fractional positions:
Pb (0.000, 0.000, 0.000)
Pb (0.500, 0.500, 0.000)
Be (0.500, 0.000, 0.500)
Br (0.000, 0.500, 0.500)

Calculated values
total magnetization: 0.00 μB/f.u.
space group: Pmmm
raw formation energy: 0.378 eV per atom
theoretical density: 7.5 g/cm3

4.
This record from Alexandria describes a geometry-optimized PmNd3Er2Te6 structure. The functional is PBE.

Lattice parameters (Å, degrees): 4.389 8.960 9.949 103.79 102.74 90.00
Fractional positions:
Pm (0.500, 0.000, 0.000)
Te (0.331, 0.906, 0.662)
Nd (0.161, 0.832, 0.323)
Te (0.995, 0.749, 0.989)
Te (0.005, 0.251, 0.011)
Er (0.835, 0.670, 0.670)
Te (0.329, 0.425, 0.658)
Er (0.165, 0.330, 0.330)
Te (0.669, 0.094, 0.338)
Te (0.671, 0.575, 0.342)
Nd (0.839, 0.168, 0.677)
Nd (0.500, 0.500, 0.000)

Calculated values
total magnetization: 0.00 μB/f.u.
space group: C2/m
raw formation energy: -1.354 eV per atom
theoretical density: 7.5 g/cm3

5.
This record from Alexandria describes a geometry-optimized Cd2CuTe structure. The functional is PBE.

Lattice parameters (Å, degrees): 4.990 4.990 4.045 90.00 90.00 112.96
Fractional positions:
Te (0.000, 0.500, 0.500)
Cu (0.500, 0.000, 0.500)
Cd (0.000, 0.000, 0.000)
Cd (0.500, 0.500, 0.000)

Calculated values
total magnetization: 0.00 μB/f.u.
space group: Cmmm
raw formation energy: 0.162 eV per atom
theoretical density: 7.4 g/cm3

6.
This record from Alexandria describes a geometry-optimized SrTcHgRu2 structure. The functional is PBE.

Lattice parameters (Å, degrees): 4.665 5.741 4.665 90.00 90.00 90.00
Each line ends with the local moment (μB).
Fractional positions:
Sr (0.000, 0.500, 0.000)  0.00
Tc (0.000, 0.000, 0.000)  0.01
Ru (0.500, 0.000, 0.000)  0.09
Hg (0.500, 0.500, 0.500)  0.00
Ru (0.000, 0.000, 0.500)  0.21

Calculated values
total magnetization: 0.30 μB/f.u.
space group: P4/mmm
ΔH_f (0 K): 1039 meV/atom
theoretical density: 7.8 g/cm3

7.
This record from Alexandria describes a geometry-optimized GaHgI structure. The functional is PBE.

Lattice parameters (Å, degrees): 5.653 4.643 4.643 120.00 90.00 90.00
Fractional positions:
I (0.276, 0.333, 0.667)
Ga (0.992, 0.000, 0.000)
Hg (0.732, 0.667, 0.333)

Calculated values
total magnetization: 0.00 μB/f.u.
space group: P3m1
raw formation energy: -0.213 eV per atom
theoretical density: 6.2 g/cm3

8.
This record from Alexandria describes a geometry-optimized Si2TcAu structure. The functional is PBE.

Lattice parameters (Å, degrees): 4.570 4.570 4.480 75.68 75.68 41.38
Fractional positions:
Au (0.252, 0.252, 0.203)
Si (0.760, 0.760, 0.673)
Tc (0.484, 0.484, 0.604)
Si (0.004, 0.004, 0.020)

Calculated values
total magnetization: 0.00 μB/f.u.
space group: Cm
raw formation energy: -0.147 eV per atom
theoretical density: 9.8 g/cm3